BeV4Fe2 | GGA-PBE | relaxed

Cell and atoms, written as extended XYZ:
```
7
Lattice="4.0169 0.0000 0.0000 0.0000 4.0169 0.0000 2.0084 2.0084 5.7503" Properties=species:S:1:pos:R:3 pbc="T T T"
Be 0.0000 0.0000 0.0000
Fe 2.0084 2.0084 1.4214
Fe 4.0169 4.0169 4.3289
V 2.0084 2.0084 3.5300
V 4.0169 4.0169 2.2203
V 0.0000 2.0084 0.0000
V 2.0084 0.0000 0.0000
```

Output
Space-group type ... I4/mmm
DFT total energy ... -52.6 eV per formula unit
Theoretical density ... 5.8 Mg/m³